{
  "formula": "Sr2LaAg",
  "functional": "PBE",
  "state": "relaxed",
  "lattice_angstrom": [[5.902, 0.000, 0.000], [2.951, 5.111, 0.000], [2.951, 1.704, 4.819]],
  "species": ["Ag", "La", "Sr", "Sr"],
  "frac_coords": [[0.500, 0.500, 0.500], [0.750, 0.750, 0.750], [0.000, 0.000, 0.000], [0.250, 0.250, 0.250]],
  "energy_ev_per_atom": -2.61,
  "space_group": "No. 216",
  "volume_a3_per_fu": 145.34,
  "formation_enthalpy_0k_ev_per_atom": 0.1710,
  "de_polymorph_ev_per_atom": 0.251
}